Entry from Alexandria: a relaxed Pm2SmCd crystal (PBE-GGA).

a = 11.246 Å, b = 11.246 Å, c = 11.246 Å
α = 18.74°, β = 18.74°, γ = 18.74°
Fractional coordinates of all 4 atoms:
Pm1 0.000 0.000 0.000
Pm2 0.179 0.179 0.179
Sm1 0.422 0.422 0.422
Cd1 0.589 0.589 0.589

As for the relative energy among the computed polymorphs: 93 meV per atom. The calculation puts the total magnetization at 0.0 μB per cell. For the energy relative to the elements, the calculation gives -0.05 eV per atom.


Entry from Alexandria: a relaxed Pm6Sm12Cd crystal (PBE-GGA).

a = 8.628 Å, b = 8.628 Å, c = 8.628 Å
α = 88.96°, β = 88.96°, γ = 88.96°
Fractional coordinates of all 19 atoms:
Pm1 0.207 0.596 0.761
Pm2 0.239 0.793 0.404
Pm3 0.404 0.239 0.793
Pm4 0.596 0.761 0.207
Pm5 0.761 0.207 0.596
Pm6 0.793 0.404 0.239
Sm1 0.036 0.282 0.934
Sm2 0.066 0.964 0.718
Sm3 0.138 0.320 0.483
Sm4 0.282 0.934 0.036
Sm5 0.320 0.483 0.138
Sm6 0.483 0.138 0.320
Sm7 0.517 0.862 0.680
Sm8 0.680 0.517 0.862
Sm9 0.718 0.066 0.964
Sm10 0.862 0.680 0.517
Sm11 0.934 0.036 0.282
Sm12 0.964 0.718 0.066
Cd1 0.500 0.500 0.500

As for the relative energy among the computed polymorphs: 0 meV per atom. The calculation puts the total magnetization at 0.0 μB per cell. For the energy relative to the elements, the calculation gives 0.09 eV per atom.


Entry from Alexandria: a relaxed Pm3Sm5Cd crystal (PBE-GGA).

a = 7.662 Å, b = 7.662 Å, c = 11.381 Å
α = 90.18°, β = 90.18°, γ = 99.22°
Fractional coordinates of all 18 atoms:
Pm1 0.000 0.000 0.000
Pm2 0.000 0.000 0.500
Pm3 0.154 0.154 0.258
Pm4 0.333 0.333 0.007
Pm5 0.667 0.667 0.993
Pm6 0.846 0.846 0.742
Sm1 0.013 0.527 0.185
Sm2 0.253 0.747 0.500
Sm3 0.323 0.323 0.498
Sm4 0.473 0.987 0.815
Sm5 0.496 0.496 0.742
Sm6 0.504 0.504 0.258
Sm7 0.527 0.013 0.185
Sm8 0.677 0.677 0.502
Sm9 0.747 0.253 0.500
Sm10 0.987 0.473 0.815
Cd1 0.161 0.161 0.742
Cd2 0.839 0.839 0.258

The calculation puts the total magnetization at 0.0 μB per cell. For the energy relative to the elements, the calculation gives 0.39 eV per atom.


| no. | electronic total energy (eV per atom) |
| --- | --- |
| 1 | -3.839 |
| 2 | -4.436 |
| 3 | -3.920 |